This record from Alexandria via LeMat-Bulk describes a geometry-optimized YAgPb2 structure. The functional is PBE-GGA.

a = 4.5189 Å, b = 4.5189 Å, c = 10.1746 Å
α = 90.00°, β = 90.00°, γ = 90.00°
With the nearest neighbours (Å) after each atom.
Space group I-4m2 (No. 119)
Symmetry-distinct sites (fractional):
Y: 0.0000 0.0000 0.0000 x2  8 Pb 3.20-3.40, 4 Ag 3.40
Ag: 0.0000 0.5000 0.2500 x2  8 Pb 3.20-3.40, 4 Y 3.40
Pb: 0.0000 0.0000 0.5000 x2  4 Y 3.20, 4 Pb 3.40, 4 Ag 3.40
Pb: 0.0000 0.5000 0.7500 x2  4 Ag 3.20, 4 Pb 3.40, 4 Y 3.40

Results
The density of states at the Fermi level is 4.03 states/eV per cell. Its final energy is -35.37 eV/cell. The energy of formation from the pure elements is -239 meV/atom.


This record from Alexandria via LeMat-Bulk describes a geometry-optimized Y12Fe6Sb structure. The functional is PBE-GGA.

a = 9.7643 Å, b = 9.7643 Å, c = 9.7643 Å
α = 90.00°, β = 90.00°, γ = 90.00°
With the nearest neighbours (Å) after each atom.
Space group Im-3 (No. 204)
Symmetry-distinct sites (fractional):
Y: 0.0000 0.1970 0.3000 x24  3 Fe 2.73-2.94
Fe: 0.0000 0.3919 0.5000 x12  1 Fe 2.11
Sb: 0.0000 0.0000 0.0000 x2  12 Y 3.50

Results
The uncorrected formation energy comes out at -0.137 eV/atom. The density of states at the Fermi level is 33.44 states/eV per cell. Its final energy is -270.14 eV/cell.


This record from Alexandria via LeMat-Bulk describes a geometry-optimized LiHgPb2 structure. The functional is PBE-GGA.

a = 3.3631 Å, b = 3.3631 Å, c = 32.7427 Å
α = 90.00°, β = 90.00°, γ = 120.00°
With the nearest neighbours (Å) after each atom.
Space group R-3m (No. 166, hexagonal axes)
Symmetry-distinct sites (fractional):
Li: 0.0000 0.0000 0.0000 x3  6 Pb 3.16, 6 Li 3.36
Hg: 0.0000 0.0000 0.5000 x3  6 Hg 3.36, 6 Pb 3.55
Pb: 0.0000 0.0000 0.2573 x6  3 Li 3.16, 6 Pb 3.36

Results
The density of states at the Fermi level is 4.31 states/eV per cell. Its final energy is -29.56 eV/cell. The energy of formation from the pure elements is -55 meV/atom.


What is the final energy in the second record? -270.14 eV/cell